## Ba2MgNi3F12 (GGA+U)

Data for a geometry-optimized Ba2MgNi3F12 structure.

```
Ba2MgNi3F12
1.0
3.6980 2.1351 5.8857
-3.6980 2.1351 5.8857
0.0000 -4.2701 5.8857
Ba Mg Ni F
2 1 3 12
Direct
0.1743 0.1743 0.1743
0.8257 0.8257 0.8257
0.5000 0.5000 0.5000
0.0000 0.5000 0.5000
0.5000 0.0000 0.5000
0.5000 0.5000 0.0000
0.1689 0.1689 0.5553
0.1689 0.5553 0.1689
0.1764 0.5773 0.5773
0.4227 0.4227 0.8236
0.4227 0.8236 0.4227
0.4447 0.8311 0.8311
0.5553 0.1689 0.1689
0.5773 0.1764 0.5773
0.5773 0.5773 0.1764
0.8236 0.4227 0.4227
0.8311 0.4447 0.8311
0.8311 0.8311 0.4447
```

Output
As for the symmetry: R-3m. The electronic total energy comes out at -0.35727 Ry per atom. The density of states at the Fermi level is 0.0 states/eV/cell.